# 1
The following is a PBE-GGA calculation of an optimized crystal structure of CeSm2ScSe6, from Alexandria via LeMat-Bulk.

It has space group R3 (No. 146, hexagonal axes), with a = 7.2715 Å, b = 7.2715 Å, c = 19.4464 Å, α = 90.00°, β = 90.00° and γ = 120.00°. The distinct sites, in fractional coordinates, are Ce at (0.0000, 0.0000, 0.0000), Sm at (0.0000, 0.0000, 0.1989), Sm at (0.0000, 0.0000, 0.7035), Sc at (0.0000, 0.0000, 0.5052), Se at (0.0031, 0.7104, 0.5961) and Se at (0.0064, 0.3677, 0.7666).

The calculation puts the energy at -6.0184 eV per atom. As for the uncorrected formation energy: -1.76 eV/atom. As for the total magnetization: 0.11 μB per atom.

# 2
The following is a PBE-GGA calculation of an optimized crystal structure of CeSmSc2Se4, from Alexandria via LeMat-Bulk.

It has space group P2/m (No. 10), with a = 6.926 Å, b = 3.984 Å, c = 7.091 Å, α = 90.00°, β = 108.86° and γ = 90.00°. The distinct sites, in fractional coordinates, are Ce at (0.000, 0.000, 0.000), Sm at (0.500, 0.500, 0.000), Sc at (0.000, 0.500, 0.500), Sc at (0.500, 0.000, 0.500), Se at (0.243, 0.000, 0.725) and Se at (0.260, 0.500, 0.276).

The calculation puts the energy at -6.3555 eV per atom. As for the uncorrected formation energy: -1.70 eV/atom. As for the total magnetization: 0.13 μB per atom.

# 3
The following is a PBE-GGA calculation of an optimized crystal structure of Ce4SmSc3Se8, from Alexandria via LeMat-Bulk.

It has space group R-3m (No. 166, hexagonal axes), with a = 8.1128 Å, b = 8.1128 Å, c = 20.2374 Å, α = 90.00°, β = 90.00° and γ = 120.00°. The distinct sites, in fractional coordinates, are Ce at (0.0000, 0.0000, 0.0000), Ce at (0.0000, 0.5000, 0.0000), Sm at (0.0000, 0.0000, 0.5000), Sc at (0.0000, 0.5000, 0.5000), Se at (0.0000, 0.0000, 0.2413) and Se at (0.0114, 0.5057, 0.7562).

The calculation puts the energy at -6.4282 eV per atom. As for the uncorrected formation energy: -1.72 eV/atom. As for the total magnetization: 0.25 μB per atom.

> What is the energy in the third record?

-6.4282 eV per atom